(1)
Below is ZrBHS2 at its PBEsol-relaxed geometry, with properties calculated at the meta-GGA SCAN level.

Unit cell a=4.347 b=4.347 c=3.454 alpha=90.00 beta=90.00 gamma=90.00
Space group P4/mmm (No. 123)
One atom of each set of equivalent atoms:
Zr  0.000  0.000  0.000 (multiplicity 1)
B  0.500  0.500  0.000 (multiplicity 1)
H  0.000  0.000  0.500 (multiplicity 1)
S  0.000  0.500  0.500 (multiplicity 2)

Properties
E_tot, eV/atom: -11.735
Mass density, g cm⁻³: 4.253
Size of the total moment, Bohr magnetons per cell: 0.0

=====

(2)
Below is Nb2AlBr2 at its PBEsol-relaxed geometry, with properties calculated at the meta-GGA SCAN level.

Unit cell a=4.125 b=4.125 c=12.220 alpha=90.00 beta=90.00 gamma=90.00
Space group I4/mmm (No. 139)
One atom of each set of equivalent atoms:
Nb  0.000  0.000  0.105 (multiplicity 4)
Al  0.000  0.000  0.500 (multiplicity 2)
Br  0.000  0.500  0.250 (multiplicity 4)

Properties
E_tot, eV/atom: -22.167
Mass density, g cm⁻³: 5.953
ΔE_f (raw), eV/atom: 0.419
Size of the total moment, Bohr magnetons per cell: 0.0

=====

(3)
Below is Ti3CuF at its PBEsol-relaxed geometry, with properties calculated at the meta-GGA SCAN level.

Unit cell a=4.077 b=4.077 c=4.077 alpha=90.00 beta=90.00 gamma=90.00
Space group Pm-3m (No. 221)
One atom of each set of equivalent atoms:
Ti  0.000  0.000  0.500 (multiplicity 3)
Cu  0.500  0.500  0.500 (multiplicity 1)
F  0.000  0.000  0.000 (multiplicity 1)

Properties
E_tot, eV/atom: -13.944
Mass density, g cm⁻³: 5.539
ΔE_f (raw), eV/atom: -0.578
Size of the total moment, Bohr magnetons per cell: 2.3

=====

(4)
Below is K2Sb4S7 at its PBEsol-relaxed geometry, with properties calculated at the meta-GGA SCAN level.

Unit cell a=10.042 b=7.857 c=17.506 alpha=90.00 beta=95.82 gamma=90.00
Space group C2/c (No. 15)
One atom of each set of equivalent atoms:
K  0.167  0.119  0.206 (multiplicity 8)
Sb  0.005  0.375  0.616 (multiplicity 8)
Sb  0.174  0.029  0.471 (multiplicity 8)
S  0.000  0.494  0.250 (multiplicity 4)
S  0.026  0.209  0.039 (multiplicity 8)
S  0.115  0.121  0.845 (multiplicity 8)
S  0.228  0.245  0.626 (multiplicity 8)

Properties
E_tot, eV/atom: -18.548
Mass density, g cm⁻³: 3.818
ΔE_f (raw), eV/atom: -0.617
Size of the total moment, Bohr magnetons per cell: 0.0

=====

(5)
Below is MnZnBr2 at its PBEsol-relaxed geometry, with properties calculated at the meta-GGA SCAN level.

Unit cell a=7.048 b=7.048 c=7.048 alpha=90.00 beta=90.00 gamma=90.00
Space group F-43m (No. 216)
One atom of each set of equivalent atoms:
Mn  0.000  0.000  0.000 (multiplicity 4)
Zn  0.250  0.250  0.750 (multiplicity 4)
Br  0.000  0.000  0.500 (multiplicity 4)
Br  0.250  0.250  0.250 (multiplicity 4)

Properties
E_tot, eV/atom: -17.499
Mass density, g cm⁻³: 5.315
ΔE_f (raw), eV/atom: 0.173
Energy relative to the lowest polymorph listed for this composition, eV/f.u.: 2.40
Size of the total moment, Bohr magnetons per cell: 20.0

=====

(6)
Below is MnHRh3 at its PBEsol-relaxed geometry, with properties calculated at the meta-GGA SCAN level.

Unit cell a=3.809 b=3.809 c=3.809 alpha=90.00 beta=90.00 gamma=90.00
Space group Pm-3m (No. 221)
One atom of each set of equivalent atoms:
Mn  0.000  0.000  0.000 (multiplicity 1)
H  0.500  0.500  0.500 (multiplicity 1)
Rh  0.000  0.500  0.500 (multiplicity 3)

Properties
E_tot, eV/atom: -24.823
Mass density, g cm⁻³: 10.961
Size of the total moment, Bohr magnetons per cell: 3.6